1.
## Zr5HgPd (PBE)

Data for Zr5HgPd after structural relaxation.

Cell and atoms, written as CIF:
```
data_Zr5HgPd
_chemical_formula_sum 'Zr20 Hg4 Pd4'
_symmetry_space_group_name_H-M 'C 1 2/c 1'
_symmetry_Int_Tables_number 15
_cell_length_a 10.349
_cell_length_b 5.961
_cell_length_c 11.186
_cell_angle_alpha 90.00
_cell_angle_beta 113.36
_cell_angle_gamma 90.00
loop_
_symmetry_equiv_pos_as_xyz
'x,y,z'
'-x,-y,-z'
'-x,y,-z+1/2'
'x,-y,z+1/2'
'x+1/2,y+1/2,z'
'-x+1/2,-y+1/2,-z'
'-x+1/2,y+1/2,-z+1/2'
'x+1/2,-y+1/2,z+1/2'
loop_
_atom_site_label
_atom_site_type_symbol
_atom_site_fract_x
_atom_site_fract_y
_atom_site_fract_z
_atom_site_occupancy
Zr1 Zr 0.000 0.094 0.250 1
Zr2 Zr 0.079 0.238 0.012 1
Zr3 Zr 0.221 0.127 0.713 1
Hg1 Hg 0.000 0.422 0.750 1
Pd1 Pd 0.250 0.250 0.500 1
```

Computed properties:
VASP energy: -6.858 eV per atom

=====

2.
## KCa3Ac2Te6 (PBE)

Data for KCa3Ac2Te6 after structural relaxation.

Cell and atoms, written as CIF:
```
data_KCa3Ac2Te6
_chemical_formula_sum 'K2 Ca6 Ac4 Te12'
_symmetry_space_group_name_H-M 'C 1 2/m 1'
_symmetry_Int_Tables_number 12
_cell_length_a 20.292
_cell_length_b 4.638
_cell_length_c 9.410
_cell_angle_alpha 90.00
_cell_angle_beta 103.34
_cell_angle_gamma 90.00
loop_
_symmetry_equiv_pos_as_xyz
'x,y,z'
'-x,-y,-z'
'-x,y,-z'
'x,-y,z'
'x+1/2,y+1/2,z'
'-x+1/2,-y+1/2,-z'
'-x+1/2,y+1/2,-z'
'x+1/2,-y+1/2,z'
loop_
_atom_site_label
_atom_site_type_symbol
_atom_site_fract_x
_atom_site_fract_y
_atom_site_fract_z
_atom_site_occupancy
K1 K 0.000 0.000 0.000 1
Ca1 Ca 0.000 0.000 0.500 1
Ca2 Ca 0.163 0.500 0.834 1
Ac1 Ac 0.164 0.500 0.330 1
Te1 Te 0.002 0.500 0.731 1
Te2 Te 0.166 0.000 0.592 1
Te3 Te 0.175 0.000 0.080 1
```

Computed properties:
VASP energy: -4.383 eV per atom
Energy relative to the elements, uncorrected: -35.41 kcal/mol of atoms

=====

3.
## Mg2Sc2Hg3 (PBE)

Data for Mg2Sc2Hg3 after structural relaxation.

Cell and atoms, written as CIF:
```
data_Mg2Sc2Hg3
_chemical_formula_sum 'Mg2 Sc2 Hg3'
_symmetry_space_group_name_H-M 'P -1'
_symmetry_Int_Tables_number 2
_cell_length_a 4.805
_cell_length_b 4.814
_cell_length_c 8.564
_cell_angle_alpha 73.85
_cell_angle_beta 73.93
_cell_angle_gamma 60.07
loop_
_symmetry_equiv_pos_as_xyz
'x,y,z'
'-x,-y,-z'
loop_
_atom_site_label
_atom_site_type_symbol
_atom_site_fract_x
_atom_site_fract_y
_atom_site_fract_z
_atom_site_occupancy
Mg1 Mg 0.119 0.120 0.139 1
Sc1 Sc 0.376 0.375 0.372 1
Hg1 Hg 0.258 0.257 0.731 1
Hg2 Hg 0.500 0.500 0.000 1
```

Computed properties:
VASP energy: -2.609 eV per atom

=====

4.
## K2VPbCl8 (PBE)

Data for K2VPbCl8 after structural relaxation.

Cell and atoms, written as CIF:
```
data_K2VPbCl8
_chemical_formula_sum 'K2 V1 Pb1 Cl8'
_symmetry_space_group_name_H-M 'P -1'
_symmetry_Int_Tables_number 2
_cell_length_a 6.618
_cell_length_b 6.924
_cell_length_c 8.450
_cell_angle_alpha 89.97
_cell_angle_beta 89.94
_cell_angle_gamma 88.96
loop_
_symmetry_equiv_pos_as_xyz
'x,y,z'
'-x,-y,-z'
loop_
_atom_site_label
_atom_site_type_symbol
_atom_site_fract_x
_atom_site_fract_y
_atom_site_fract_z
_atom_site_occupancy
K1 K 0.001 0.000 0.239 1
V1 V 0.500 0.500 0.000 1
Pb1 Pb 0.500 0.500 0.500 1
Cl1 Cl 0.247 0.824 0.501 1
Cl2 Cl 0.290 0.375 0.200 1
Cl3 Cl 0.291 0.374 0.800 1
Cl4 Cl 0.313 0.782 0.999 1
```

Computed properties:
VASP energy: -3.852 eV per atom
Energy relative to the elements, uncorrected: -31.56 kcal/mol of atoms

=====

5.
## Co2ReRu (PBE)

Data for Co2ReRu after structural relaxation.

Cell and atoms, written as CIF:
```
data_Co2ReRu
_chemical_formula_sum 'Co2 Re1 Ru1'
_symmetry_space_group_name_H-M 'P 4 m m'
_symmetry_Int_Tables_number 99
_cell_length_a 2.938
_cell_length_b 2.938
_cell_length_c 5.901
_cell_angle_alpha 90.00
_cell_angle_beta 90.00
_cell_angle_gamma 90.00
loop_
_symmetry_equiv_pos_as_xyz
'x,y,z'
'-y,x,z'
'-x,-y,z'
'y,-x,z'
'-x,y,z'
'y,x,z'
'x,-y,z'
'-y,-x,z'
loop_
_atom_site_label
_atom_site_type_symbol
_atom_site_fract_x
_atom_site_fract_y
_atom_site_fract_z
_atom_site_occupancy
Co1 Co 0.000 0.000 0.000 1
Co2 Co 0.500 0.500 0.176 1
Re1 Re 0.000 0.000 0.444 1
Ru1 Ru 0.500 0.500 0.726 1
```

Computed properties:
VASP energy: -8.790 eV per atom
Polymorph energy (0 for the lowest one): 141.3 meV/atom

=====

6.
## IrC (PBE)

Data for IrC after structural relaxation.

Cell and atoms, written as CIF:
```
data_IrC
_chemical_formula_sum 'Ir4 C4'
_symmetry_space_group_name_H-M 'C 1 2/m 1'
_symmetry_Int_Tables_number 12
_cell_length_a 9.665
_cell_length_b 3.096
_cell_length_c 3.216
_cell_angle_alpha 90.00
_cell_angle_beta 103.09
_cell_angle_gamma 90.00
loop_
_symmetry_equiv_pos_as_xyz
'x,y,z'
'-x,-y,-z'
'-x,y,-z'
'x,-y,z'
'x+1/2,y+1/2,z'
'-x+1/2,-y+1/2,-z'
'-x+1/2,y+1/2,-z'
'x+1/2,-y+1/2,z'
loop_
_atom_site_label
_atom_site_type_symbol
_atom_site_fract_x
_atom_site_fract_y
_atom_site_fract_z
_atom_site_occupancy
Ir1 Ir 0.139 0.000 0.227 1
C1 C 0.154 0.500 0.840 1
```

Computed properties:
VASP energy: -7.770 eV per atom
Polymorph energy (0 for the lowest one): 814.7 meV/atom